1.
Density functional theory data (PBE) for crystalline Y6Ge2PS3 at its relaxed geometry. Values from VASP.

Quantum ESPRESSO input file:
```
&SYSTEM
  ibrav = 0, nat = 12, ntyp = 4
/
ATOMIC_SPECIES
Y 88.91 Y.upf
Ge 72.64 Ge.upf
P 30.97 P.upf
S 32.06 S.upf
ATOMIC_POSITIONS angstrom
Y -0.421 0.000 1.918
Y 5.098 0.000 3.279
Y 4.219 0.000 7.195
Y 11.513 0.000 0.656
Y 10.633 0.000 4.572
Y 16.152 0.000 5.933
Ge 2.318 0.000 2.609
Ge 13.414 0.000 5.243
P 8.778 0.000 0.000
S 1.382 0.000 6.548
S 7.866 0.000 3.926
S 14.349 0.000 1.303
CELL_PARAMETERS angstrom
8.778 -2.017 0.000
8.778 2.017 0.000
-1.825 0.000 7.851
```

## Properties
ΔE_f (raw): -1.618 eV/atom
energy: -7.10 eV per atom
space-group type: C2/m, No. 12
N(E_F): 0.174 states/eV per atom


2.
Density functional theory data (PBE) for crystalline YGeP2S at its relaxed geometry. Values from VASP.

Quantum ESPRESSO input file:
```
&SYSTEM
  ibrav = 0, nat = 5, ntyp = 4
/
ATOMIC_SPECIES
Y 88.91 Y.upf
Ge 72.64 Ge.upf
P 30.97 P.upf
S 32.06 S.upf
ATOMIC_POSITIONS angstrom
Y 0.000 0.000 0.000
Ge 2.343 2.343 2.395
P 0.000 2.343 2.395
P 2.343 0.000 2.395
S 2.343 2.343 0.000
CELL_PARAMETERS angstrom
4.686 0.000 0.000
0.000 4.686 0.000
0.000 0.000 4.789
```

## Properties
excess energy over the best structure of this formula in the dataset: 0.00 eV/f.u.
ΔE_f (raw): -0.059 eV/atom
energy: -5.26 eV per atom
space-group type: P4/mmm, No. 123
N(E_F): 0.723 states/eV per atom


3.
Density functional theory data (PBE) for crystalline Y8GeP3S4 at its relaxed geometry. Values from VASP.

Quantum ESPRESSO input file:
```
&SYSTEM
  ibrav = 0, nat = 16, ntyp = 4
/
ATOMIC_SPECIES
Y 88.91 Y.upf
Ge 72.64 Ge.upf
P 30.97 P.upf
S 32.06 S.upf
ATOMIC_POSITIONS angstrom
Y -2.010 -1.160 11.367
Y 0.000 0.000 4.829
Y 0.000 -2.321 8.188
Y -2.010 1.160 8.188
Y 2.010 -1.160 11.367
Y 0.000 2.321 11.367
Y 0.000 0.000 14.726
Y 2.010 1.160 8.188
Ge 0.000 0.000 9.778
P -3.996 0.000 9.778
P -1.998 1.154 3.259
P 1.998 1.154 3.259
S 0.000 0.000 0.000
S -1.998 -1.154 6.518
S -1.998 1.154 13.037
S 0.000 2.307 6.518
CELL_PARAMETERS angstrom
3.996 2.307 6.518
-3.996 2.307 6.518
0.000 -4.614 6.518
```

## Properties
ΔE_f (raw): -1.787 eV/atom
energy: -7.35 eV per atom
space-group type: R-3m, No. 166
N(E_F): 0.241 states/eV per atom


4.
Density functional theory data (PBE) for crystalline ZnGeP2S at its relaxed geometry. Values from VASP.

Quantum ESPRESSO input file:
```
&SYSTEM
  ibrav = 0, nat = 5, ntyp = 4
/
ATOMIC_SPECIES
Zn 65.41 Zn.upf
Ge 72.64 Ge.upf
P 30.97 P.upf
S 32.06 S.upf
ATOMIC_POSITIONS angstrom
Zn 0.000 0.000 0.000
Ge 2.288 2.288 2.415
P 0.000 2.288 0.000
P 2.288 0.000 0.000
S 0.000 0.000 2.415
CELL_PARAMETERS angstrom
4.577 0.000 0.000
0.000 4.577 0.000
0.000 0.000 4.830
```

## Properties
excess energy over the best structure of this formula in the dataset: 0.00 eV/f.u.
ΔE_f (raw): 0.828 eV/atom
energy: -3.34 eV per atom
space-group type: P4/mmm, No. 123
N(E_F): 0.854 states/eV per atom


5.
Density functional theory data (PBE) for crystalline ZrGePS2 at its relaxed geometry. Values from VASP.

Quantum ESPRESSO input file:
```
&SYSTEM
  ibrav = 0, nat = 5, ntyp = 4
/
ATOMIC_SPECIES
Zr 91.22 Zr.upf
Ge 72.64 Ge.upf
P 30.97 P.upf
S 32.06 S.upf
ATOMIC_POSITIONS angstrom
Zr 0.000 0.000 0.000
Ge 2.465 2.465 2.564
P 0.000 0.000 2.564
S 0.000 2.465 0.000
S 2.465 0.000 0.000
CELL_PARAMETERS angstrom
4.929 0.000 0.000
0.000 4.929 0.000
0.000 0.000 5.127
```

## Properties
excess energy over the best structure of this formula in the dataset: 0.00 eV/f.u.
ΔE_f (raw): -0.065 eV/atom
energy: -5.43 eV per atom
space-group type: P4/mmm, No. 123
N(E_F): 0.499 states/eV per atom


6.
Density functional theory data (PBE) for crystalline ZrGePS2 at its relaxed geometry. Values from VASP.

Quantum ESPRESSO input file:
```
&SYSTEM
  ibrav = 0, nat = 5, ntyp = 4
/
ATOMIC_SPECIES
Zr 91.22 Zr.upf
Ge 72.64 Ge.upf
P 30.97 P.upf
S 32.06 S.upf
ATOMIC_POSITIONS angstrom
Zr 0.000 0.000 0.000
Ge 2.307 2.307 2.330
P 2.307 2.307 0.000
S 0.000 2.307 2.330
S 2.307 0.000 2.330
CELL_PARAMETERS angstrom
4.613 0.000 0.000
0.000 4.613 0.000
0.000 0.000 4.660
```

## Properties
excess energy over the best structure of this formula in the dataset: 1.28 eV/f.u.
ΔE_f (raw): 0.191 eV/atom
energy: -5.17 eV per atom
space-group type: P4/mmm, No. 123
N(E_F): 0.527 states/eV per atom


7.
Density functional theory data (PBE) for crystalline Ge3SbP at its relaxed geometry. Values from VASP.

Quantum ESPRESSO input file:
```
&SYSTEM
  ibrav = 0, nat = 5, ntyp = 3
/
ATOMIC_SPECIES
Ge 72.64 Ge.upf
Sb 121.76 Sb.upf
P 30.97 P.upf
ATOMIC_POSITIONS angstrom
Ge 0.000 0.000 2.437
Ge 0.000 2.437 0.000
Ge 2.437 0.000 0.000
Sb 2.437 2.437 2.437
P 0.000 0.000 0.000
CELL_PARAMETERS angstrom
4.875 0.000 0.000
0.000 4.875 0.000
0.000 0.000 4.875
```

## Properties
excess energy over the best structure of this formula in the dataset: 0.00 eV/f.u.
ΔE_f (raw): 0.505 eV/atom
energy: -4.17 eV per atom
space-group type: Pm-3m, No. 221
N(E_F): 0.416 states/eV per atom


8.
Density functional theory data (PBE) for crystalline GeSb2P at its relaxed geometry. Values from VASP.

Quantum ESPRESSO input file:
```
&SYSTEM
  ibrav = 0, nat = 8, ntyp = 3
/
ATOMIC_SPECIES
Ge 72.64 Ge.upf
Sb 121.76 Sb.upf
P 30.97 P.upf
ATOMIC_POSITIONS angstrom
Ge 0.000 0.000 0.000
Ge 0.000 2.858 3.667
Sb 1.429 -1.313 5.500
Sb 1.545 1.429 1.833
Sb 1.429 4.171 -1.833
Sb 1.313 1.429 9.167
P 2.858 0.000 3.667
P 0.000 0.000 7.334
CELL_PARAMETERS angstrom
-2.858 2.858 7.334
2.858 -2.858 7.334
2.858 2.858 -7.334
```

## Properties
excess energy over the best structure of this formula in the dataset: 0.00 eV/f.u.
ΔE_f (raw): 0.345 eV/atom
energy: -4.22 eV per atom
space-group type: I-42d, No. 122
N(E_F): 0.311 states/eV per atom


9.
Density functional theory data (PBE) for crystalline GeSb2P at its relaxed geometry. Values from VASP.

Quantum ESPRESSO input file:
```
&SYSTEM
  ibrav = 0, nat = 4, ntyp = 3
/
ATOMIC_SPECIES
Ge 72.64 Ge.upf
Sb 121.76 Sb.upf
P 30.97 P.upf
ATOMIC_POSITIONS angstrom
Ge 0.000 0.000 0.000
Sb 1.763 1.763 1.763
Sb 5.290 5.290 5.290
P 3.526 3.526 3.526
CELL_PARAMETERS angstrom
0.000 3.526 3.526
3.526 0.000 3.526
3.526 3.526 0.000
```

## Properties
excess energy over the best structure of this formula in the dataset: 0.36 eV/f.u.
ΔE_f (raw): 0.434 eV/atom
energy: -4.13 eV per atom
space-group type: Fm-3m, No. 225
N(E_F): 0.844 states/eV per atom


10.
Density functional theory data (PBE) for crystalline Ge3SbP at its relaxed geometry. Values from VASP.

Quantum ESPRESSO input file:
```
&SYSTEM
  ibrav = 0, nat = 5, ntyp = 3
/
ATOMIC_SPECIES
Ge 72.64 Ge.upf
Sb 121.76 Sb.upf
P 30.97 P.upf
ATOMIC_POSITIONS angstrom
Ge 0.000 0.000 2.653
Ge 0.000 2.653 0.000
Ge 2.653 0.000 0.000
Sb 0.000 0.000 0.000
P 2.653 2.653 2.653
CELL_PARAMETERS angstrom
5.305 0.000 0.000
0.000 5.305 0.000
0.000 0.000 5.305
```

## Properties
excess energy over the best structure of this formula in the dataset: 3.68 eV/f.u.
ΔE_f (raw): 1.240 eV/atom
energy: -3.44 eV per atom
space-group type: Pm-3m, No. 221
N(E_F): 0.532 states/eV per atom


11.
Density functional theory data (PBE) for crystalline GeSb2P2 at its relaxed geometry. Values from VASP.

Quantum ESPRESSO input file:
```
&SYSTEM
  ibrav = 0, nat = 10, ntyp = 3
/
ATOMIC_SPECIES
Ge 72.64 Ge.upf
Sb 121.76 Sb.upf
P 30.97 P.upf
ATOMIC_POSITIONS angstrom
Ge 0.000 0.000 0.000
Ge 3.881 3.881 0.000
Sb 1.232 2.649 1.864
Sb 2.649 6.530 1.864
Sb 5.113 1.232 1.864
Sb 6.530 5.113 1.864
P 1.374 5.255 0.000
P 2.508 1.374 0.000
P 5.255 6.389 0.000
P 6.389 2.508 0.000
CELL_PARAMETERS angstrom
7.762 0.000 0.000
0.000 7.762 0.000
0.000 0.000 3.729
```

## Properties
ΔE_f (raw): 0.354 eV/atom
energy: -4.38 eV per atom
space-group type: P4/mbm, No. 127
N(E_F): 0.546 states/eV per atom


12.
Density functional theory data (PBE) for crystalline GeSbTe2P at its relaxed geometry. Values from VASP.

Quantum ESPRESSO input file:
```
&SYSTEM
  ibrav = 0, nat = 5, ntyp = 4
/
ATOMIC_SPECIES
Ge 72.64 Ge.upf
Sb 121.76 Sb.upf
Te 127.60 Te.upf
P 30.97 P.upf
ATOMIC_POSITIONS angstrom
Ge 0.000 0.000 0.000
Sb 2.660 2.660 0.000
Te 0.000 2.660 2.523
Te 2.660 0.000 2.523
P 2.660 2.660 2.523
CELL_PARAMETERS angstrom
5.321 0.000 0.000
0.000 5.321 0.000
0.000 0.000 5.046
```

## Properties
excess energy over the best structure of this formula in the dataset: 0.00 eV/f.u.
ΔE_f (raw): 0.591 eV/atom
energy: -3.50 eV per atom
space-group type: P4/mmm, No. 123
N(E_F): 0.693 states/eV per atom


Which of these has the highest N(E_F)?
ZnGeP2S


Look up the ΔE_f (raw) of the tenth one.
1.240 eV/atom